i | Crystalline Be2FeB2 at its relaxed geometry. Source: the Alexandria database, functional PBE.

CIF file:
```
data_Be2FeB2
_space_group_name_H-M_alt 'I 4/m m m'
_space_group_IT_number 139
_space_group_name_Hall '-I 4 2'
_cell_length_a 2.9527
_cell_length_b 2.9527
_cell_length_c 8.5543
_cell_angle_alpha 90.00
_cell_angle_beta 90.00
_cell_angle_gamma 90.00
loop_
_atom_site_label
_atom_site_fract_x
_atom_site_fract_y
_atom_site_fract_z
Be1 0.0000 0.5000 0.2500
Fe1 0.0000 0.0000 0.0000
B1 0.0000 0.0000 0.4033
```

ii | Crystalline Be2FeB2 at its relaxed geometry. Source: the Alexandria database, functional PBE.

CIF file:
```
data_Be2FeB2
_space_group_name_H-M_alt 'P 4/m b m'
_space_group_IT_number 127
_space_group_name_Hall '-P 4 2ab'
_cell_length_a 5.2448
_cell_length_b 5.2448
_cell_length_c 2.7210
_cell_angle_alpha 90.00
_cell_angle_beta 90.00
_cell_angle_gamma 90.00
loop_
_atom_site_label
_atom_site_fract_x
_atom_site_fract_y
_atom_site_fract_z
Be1 0.1817 0.3183 0.0000
Fe1 0.0000 0.0000 0.5000
B1 0.1146 0.6146 0.5000
```

Name the least stable of them. ii.